Below is Sb2Pb2O7 after structural relaxation, with properties calculated at the PBE-GGA level.

Cell: 10.731 10.731 10.731 Å, 90.00 90.00 90.00°
Space group Fd-3m (No. 227, origin choice 2)
One atom of each set of equivalent atoms:
Sb 0.000 0.000 0.000 (multiplicity 16)
Pb 0.000 0.000 0.500 (multiplicity 16)
O 0.099 0.375 0.375 (multiplicity 48)
O 0.125 0.125 0.125 (multiplicity 8)

crystal system = cubic
D(E_F) = 22.99 states/eV/cell
formation energy from raw total energies = -0.93 eV per atom
magnetization = 0.00 μB/f.u.
total DFT energy (no corrections) = -60.65 eV per formula unit